First-principles (PBE with a Hubbard U) data for crystalline SrCoF at its relaxed geometry, as listed in Alexandria via LeMat-Bulk.

mass density = 4.14 g cm⁻³
relative energy among the computed polymorphs = 0.0823 eV/atom

Lattice parameters (Å, degrees): 4.1216 4.2195 8.8725 89.91 90.14 59.39
Closest atoms and distances in Å follow each position.
Fractional positions:
Sr: 0.9031 0.3991 0.3153  1 F 2.42
Sr: 0.2337 0.7324 0.8982  4 F 2.42-2.65
Co: 0.2375 0.7320 0.5316  3 Co 2.43-2.45
Co: 0.5655 0.0682 0.5812  3 Co 2.43-2.45, 1 F 2.44
F: 0.5579 0.0712 0.8564  3 Sr 2.42-2.43, 1 Co 2.44
F: 0.8886 0.4061 0.0425  2 Sr 2.42-2.65